VASP calculation (PBE) on a relaxed RePdPt crystal.

E above lowest polymorph = 0.088 eV per atom
Density of states at the Fermi level = 6.485 states/eV per cell
VASP energy = -23.74 eV per formula unit
Energy of formation = -21 meV per atom
Crystal system = monoclinic

Unit cell a=4.8182 b=2.7762 c=6.8100 alpha=90.00 beta=90.14 gamma=90.00
Fractional coordinates of all 6 atoms:
Pd  0.0827  0.2500  0.6735
Pt  0.5804  0.7500  0.6759
Re  0.2500  0.7500  0.0040
Pd  0.9173  0.7500  0.3265
Re  0.7500  0.2500  0.9960
Pt  0.4196  0.2500  0.3241